# Zr2Ag2Te6Au (PBE-GGA, optimized geometry)
data_Zr2Ag2Te6Au
_chemical_formula_sum 'Zr2 Ag2 Te6 Au1'
_cell_length_a 6.7542
_cell_length_b 6.7542
_cell_length_c 7.8320
_cell_angle_alpha 100.50
_cell_angle_beta 100.50
_cell_angle_gamma 113.50
_space_group_name_H-M_alt 'P 1'
_space_group_IT_number 1
_space_group_name_Hall 'P 1'
loop_
_atom_site_label
_atom_site_type_symbol
_atom_site_fract_x
_atom_site_fract_y
_atom_site_fract_z
_atom_site_occupancy
Zr1 Zr 0.2214 0.7786 0.0000 1
Zr2 Zr 0.7786 0.2214 0.0000 1
Ag1 Ag 0.3712 0.6288 0.5000 1
Ag2 Ag 0.6288 0.3712 0.5000 1
Te1 Te 0.0086 0.3496 0.7294 1
Te2 Te 0.2433 0.2433 0.1764 1
Te3 Te 0.3496 0.0086 0.7294 1
Te4 Te 0.6504 0.9914 0.2706 1
Te5 Te 0.7567 0.7567 0.8236 1
Te6 Te 0.9914 0.6504 0.2706 1
Au1 Au 0.5000 0.5000 0.0000 1
# * spin magnetization: 0.00 μB per formula unit
# * volume: 309.0 Å³/cell
# * crystal system: monoclinic
# * DOS at the Fermi energy: 0.55 states/eV/atom
# * energy relative to the elements, uncorrected: -391 meV per atom

# Ce4SmAu5 (PBE-GGA, optimized geometry)
data_Ce4SmAu5
_chemical_formula_sum 'Ce4 Sm1 Au5'
_cell_length_a 3.6510
_cell_length_b 3.6510
_cell_length_c 18.8344
_cell_angle_alpha 90.00
_cell_angle_beta 90.00
_cell_angle_gamma 90.00
_space_group_name_H-M_alt 'P 1'
_space_group_IT_number 1
_space_group_name_Hall 'P 1'
loop_
_atom_site_label
_atom_site_type_symbol
_atom_site_fract_x
_atom_site_fract_y
_atom_site_fract_z
_atom_site_occupancy
Ce1 Ce 0.0000 0.0000 0.0998 1
Ce2 Ce 0.0000 0.0000 0.3001 1
Ce3 Ce 0.0000 0.0000 0.6999 1
Ce4 Ce 0.0000 0.0000 0.9002 1
Sm1 Sm 0.0000 0.0000 0.5000 1
Au1 Au 0.5000 0.5000 0.0000 1
Au2 Au 0.5000 0.5000 0.1999 1
Au3 Au 0.5000 0.5000 0.4033 1
Au4 Au 0.5000 0.5000 0.5967 1
Au5 Au 0.5000 0.5000 0.8001 1
# * spin magnetization: 4.24 μB per formula unit
# * calculated formation energy: -0.632 eV/atom
# * volume: 251.1 Å³/cell
# * crystal system: tetragonal
# * DOS at the Fermi energy: 2.90 states/eV/atom

# Zr2Cd2Ge (PBE-GGA, optimized geometry)
data_Zr2Cd2Ge
_chemical_formula_sum 'Zr4 Cd4 Ge2'
_cell_length_a 7.0634
_cell_length_b 7.0634
_cell_length_c 4.6622
_cell_angle_alpha 90.00
_cell_angle_beta 90.00
_cell_angle_gamma 90.00
_space_group_name_H-M_alt 'P 1'
_space_group_IT_number 1
_space_group_name_Hall 'P 1'
loop_
_atom_site_label
_atom_site_type_symbol
_atom_site_fract_x
_atom_site_fract_y
_atom_site_fract_z
_atom_site_occupancy
Zr1 Zr 0.1557 0.3443 0.0000 1
Zr2 Zr 0.3443 0.8443 0.0000 1
Zr3 Zr 0.6557 0.1557 0.0000 1
Zr4 Zr 0.8443 0.6557 0.0000 1
Cd1 Cd 0.1482 0.6482 0.5000 1
Cd2 Cd 0.3518 0.1482 0.5000 1
Cd3 Cd 0.6482 0.8518 0.5000 1
Cd4 Cd 0.8518 0.3518 0.5000 1
Ge1 Ge 0.0000 0.0000 0.0000 1
Ge2 Ge 0.5000 0.5000 0.0000 1
# * spin magnetization: 0.00 μB per formula unit
# * calculated formation energy: -0.090 eV/atom
# * energy relative to the lowest polymorph listed for this composition: 0.000 eV/f.u.
# * volume: 232.6 Å³/cell
# * crystal system: tetragonal
# * DOS at the Fermi energy: 0.65 states/eV/atom

- The lowest DOS at the Fermi energy belongs to which entry?
  Zr2Ag2Te6Au